Entry 1:
Below is FeIr3Rh2 after structural relaxation, with properties calculated at the GGA-PBE level. Values from VASP.

```
&SYSTEM
  ibrav = 0, nat = 6, ntyp = 3
/
ATOMIC_SPECIES
Fe 55.84 Fe.upf
Ir 192.22 Ir.upf
Rh 102.91 Rh.upf
ATOMIC_POSITIONS crystal
Fe 0.000 0.000 0.000
Ir 0.146 0.854 0.500
Ir 0.500 0.500 0.500
Ir 0.854 0.146 0.500
Rh 0.316 0.684 0.000
Rh 0.684 0.316 0.000
CELL_PARAMETERS angstrom
2.218 -7.016 0.000
2.218 7.016 0.000
0.000 0.000 2.751
```

***

Entry 2:
Below is Tb2CeIr after structural relaxation, with properties calculated at the GGA-PBE level. Values from VASP.

```
&SYSTEM
  ibrav = 0, nat = 16, ntyp = 3
/
ATOMIC_SPECIES
Tb 158.93 Tb.upf
Ce 140.12 Ce.upf
Ir 192.22 Ir.upf
ATOMIC_POSITIONS crystal
Tb 0.177 0.064 0.168
Tb 0.177 0.436 0.168
Tb 0.323 0.564 0.668
Tb 0.323 0.936 0.668
Tb 0.677 0.064 0.332
Tb 0.677 0.436 0.332
Tb 0.823 0.564 0.832
Tb 0.823 0.936 0.832
Ce 0.039 0.250 0.647
Ce 0.461 0.750 0.147
Ce 0.539 0.250 0.853
Ce 0.961 0.750 0.353
Ir 0.126 0.750 0.957
Ir 0.374 0.250 0.457
Ir 0.626 0.750 0.543
Ir 0.874 0.250 0.043
CELL_PARAMETERS angstrom
7.143 0.000 0.000
0.000 9.527 0.000
0.000 0.000 6.465
```

***

Entry 3:
Below is CaSm4Rh5 after structural relaxation, with properties calculated at the GGA-PBE level. Values from VASP.

```
&SYSTEM
  ibrav = 0, nat = 10, ntyp = 3
/
ATOMIC_SPECIES
Ca 40.08 Ca.upf
Sm 150.36 Sm.upf
Rh 102.91 Rh.upf
ATOMIC_POSITIONS crystal
Ca 0.000 0.000 0.000
Sm 0.000 0.000 0.198
Sm 0.000 0.000 0.399
Sm 0.000 0.000 0.601
Sm 0.000 0.000 0.802
Rh 0.500 0.500 0.107
Rh 0.500 0.500 0.301
Rh 0.500 0.500 0.500
Rh 0.500 0.500 0.699
Rh 0.500 0.500 0.893
CELL_PARAMETERS angstrom
3.511 0.000 0.000
0.000 3.511 0.000
0.000 0.000 17.229
```

***

| no. | DOS at the Fermi energy (states/eV/atom) | energy relative to the elements (eV/atom) |
| --- | --- | --- |
| 1 | 1.57 | 0.19 |
| 2 | 1.96 | -0.50 |
| 3 | 0.65 | -0.65 |